{"formula": "ZnNi2Ru", "functional": "PBE", "state": "optimized geometry", "lattice": [[2.635, 0.000, 0.000], [-1.318, 2.282, 0.000], [0.000, 0.000, 25.003]], "species": ["Zn", "Zn", "Zn", "Ni", "Ni", "Ni", "Ni", "Ni", "Ni", "Ru", "Ru", "Ru"], "fractional_positions": [[0.000, 0.000, 0.000], [0.333, 0.667, 0.667], [0.667, 0.333, 0.333], [0.000, 0.000, 0.494], [0.000, 0.000, 0.748], [0.333, 0.667, 0.161], [0.333, 0.667, 0.415], [0.667, 0.333, 0.082], [0.667, 0.333, 0.827], [0.000, 0.000, 0.243], [0.333, 0.667, 0.910], [0.667, 0.333, 0.576]], "sg": "R3m, No. 160", "e_form_mev_per_atom": 58, "m_tot_mub_per_atom": 0.197}

=====

{"formula": "ZnNi2Ru", "functional": "PBE", "state": "optimized geometry", "lattice": [[2.666, 0.000, 0.000], [0.000, 4.331, 0.000], [0.000, 0.000, 8.626]], "species": ["Zn", "Zn", "Ni", "Ni", "Ni", "Ni", "Ru", "Ru"], "fractional_positions": [[0.000, 0.000, 0.000], [0.500, 0.500, 0.500], [0.000, 0.000, 0.484], [0.000, 0.500, 0.746], [0.500, 0.000, 0.246], [0.500, 0.500, 0.984], [0.000, 0.500, 0.231], [0.500, 0.000, 0.731]], "sg": "Imm2, No. 44", "e_form_mev_per_atom": 63, "m_tot_mub_per_atom": 0.217}

=====

{"formula": "ZnNiRu2", "functional": "PBE", "state": "optimized geometry", "lattice": [[8.753, 0.000, 0.000], [0.000, 2.705, 0.000], [-0.783, 0.000, 4.479]], "species": ["Zn", "Zn", "Ni", "Ni", "Ru", "Ru", "Ru", "Ru"], "fractional_positions": [[0.000, 0.000, 0.000], [0.500, 0.500, 0.000], [0.251, 0.000, 0.799], [0.751, 0.500, 0.799], [0.004, 0.500, 0.504], [0.257, 0.500, 0.303], [0.504, 0.000, 0.504], [0.757, 0.000, 0.303]], "sg": "Cm, No. 8", "e_form_mev_per_atom": 51, "m_tot_mub_per_atom": 0.000}

=====

{"formula": "ZnNi2Ru", "functional": "PBE", "state": "optimized geometry", "lattice": [[3.668, 0.000, 0.000], [0.000, 3.686, 0.000], [0.000, 0.000, 3.691]], "species": ["Zn", "Ni", "Ni", "Ru"], "fractional_positions": [[0.000, 0.000, 0.000], [0.000, 0.500, 0.500], [0.500, 0.000, 0.500], [0.500, 0.500, 0.000]], "sg": "Pmmm, No. 47", "e_form_mev_per_atom": 81, "m_tot_mub_per_atom": 0.459}

=====

{"formula": "ZnNiRu2", "functional": "PBE", "state": "optimized geometry", "lattice": [[5.979, 0.000, 0.000], [0.000, 5.979, 0.000], [0.000, 0.000, 5.979]], "species": ["Zn", "Zn", "Zn", "Zn", "Ni", "Ni", "Ni", "Ni", "Ru", "Ru", "Ru", "Ru", "Ru", "Ru", "Ru", "Ru"], "fractional_positions": [[0.000, 0.000, 0.000], [0.000, 0.500, 0.500], [0.500, 0.000, 0.500], [0.500, 0.500, 0.000], [0.250, 0.250, 0.750], [0.250, 0.750, 0.250], [0.750, 0.250, 0.250], [0.750, 0.750, 0.750], [0.000, 0.000, 0.500], [0.000, 0.500, 0.000], [0.250, 0.250, 0.250], [0.250, 0.750, 0.750], [0.500, 0.000, 0.000], [0.500, 0.500, 0.500], [0.750, 0.250, 0.750], [0.750, 0.750, 0.250]], "sg": "F-43m, No. 216", "e_form_mev_per_atom": 184, "m_tot_mub_per_atom": 0.001}

=====

{"formula": "Zn5Ni4Ru", "functional": "PBE", "state": "optimized geometry", "lattice": [[2.945, 0.000, 0.000], [0.000, 2.945, 0.000], [0.000, 0.000, 14.361]], "species": ["Zn", "Zn", "Zn", "Zn", "Zn", "Ni", "Ni", "Ni", "Ni", "Ru"], "fractional_positions": [[0.000, 0.000, 0.000], [0.000, 0.000, 0.195], [0.000, 0.000, 0.390], [0.000, 0.000, 0.610], [0.000, 0.000, 0.805], [0.500, 0.500, 0.097], [0.500, 0.500, 0.291], [0.500, 0.500, 0.709], [0.500, 0.500, 0.903], [0.500, 0.500, 0.500]], "sg": "P4/mmm, No. 123", "e_form_mev_per_atom": -167, "m_tot_mub_per_atom": 0.034}

=====

{"formula": "ZnNi2Ru", "functional": "PBE", "state": "optimized geometry", "lattice": [[2.744, 0.000, 0.000], [0.000, 4.371, 0.000], [0.000, 0.000, 8.464]], "species": ["Zn", "Zn", "Ni", "Ni", "Ni", "Ni", "Ru", "Ru"], "fractional_positions": [[0.000, 0.000, 0.000], [0.500, 0.500, 0.000], [0.000, 0.000, 0.479], [0.000, 0.500, 0.242], [0.500, 0.000, 0.242], [0.500, 0.500, 0.479], [0.000, 0.500, 0.731], [0.500, 0.000, 0.731]], "sg": "Cmm2, No. 35", "e_form_mev_per_atom": 164, "m_tot_mub_per_atom": 0.316}

=====

{"formula": "ZnNi2Ru", "functional": "PBE", "state": "optimized geometry", "lattice": [[4.479, 0.000, 0.000], [0.000, 5.199, 0.000], [-1.504, 0.000, 4.265]], "species": ["Zn", "Zn", "Ni", "Ni", "Ni", "Ni", "Ru", "Ru"], "fractional_positions": [[0.000, 0.000, 0.000], [0.500, 0.004, 0.500], [0.000, 0.256, 0.500], [0.000, 0.493, 0.000], [0.000, 0.746, 0.500], [0.500, 0.225, 0.000], [0.500, 0.501, 0.500], [0.500, 0.717, 0.000]], "sg": "P2, No. 3", "e_form_mev_per_atom": 0, "m_tot_mub_per_atom": 0.048}

=====

{"formula": "ZnNiRu2", "functional": "PBE", "state": "optimized geometry", "lattice": [[2.721, 0.000, 0.000], [0.000, 2.721, 0.000], [0.000, 0.000, 7.148]], "species": ["Zn", "Ni", "Ru", "Ru"], "fractional_positions": [[0.000, 0.000, 0.000], [0.500, 0.500, 0.234], [0.000, 0.000, 0.485], [0.500, 0.500, 0.731]], "sg": "P4mm, No. 99", "e_form_mev_per_atom": -1, "m_tot_mub_per_atom": 0.000}

=====

{"formula": "ZnNiRu2", "functional": "PBE", "state": "optimized geometry", "lattice": [[5.130, 0.000, 0.000], [0.000, 7.766, 0.000], [0.000, 0.000, 2.671]], "species": ["Zn", "Zn", "Ni", "Ni", "Ru", "Ru", "Ru", "Ru"], "fractional_positions": [[0.000, 0.000, 0.000], [0.500, 0.500, 0.000], [0.000, 0.500, 0.000], [0.500, 0.000, 0.000], [0.250, 0.250, 0.500], [0.250, 0.750, 0.500], [0.750, 0.250, 0.500], [0.750, 0.750, 0.500]], "sg": "Cmmm, No. 65", "e_form_mev_per_atom": 199, "m_tot_mub_per_atom": 0.000}

=====

{"formula": "ZnNiRu2", "functional": "PBE", "state": "optimized geometry", "lattice": [[2.783, 0.000, 0.000], [0.000, 4.481, 0.000], [0.000, 0.000, 8.712]], "species": ["Zn", "Zn", "Ni", "Ni", "Ru", "Ru", "Ru", "Ru"], "fractional_positions": [[0.000, 0.000, 0.000], [0.500, 0.500, 0.000], [0.000, 0.000, 0.500], [0.500, 0.500, 0.500], [0.000, 0.500, 0.257], [0.000, 0.500, 0.743], [0.500, 0.000, 0.257], [0.500, 0.000, 0.743]], "sg": "Cmmm, No. 65", "e_form_mev_per_atom": 277, "m_tot_mub_per_atom": 0.371}

=====

{"formula": "ZnNiRu2", "functional": "PBE", "state": "optimized geometry", "lattice": [[2.713, 0.000, 0.000], [0.000, 4.249, 0.000], [0.000, 0.000, 9.538]], "species": ["Zn", "Zn", "Ni", "Ni", "Ru", "Ru", "Ru", "Ru"], "fractional_positions": [[0.000, 0.000, 0.000], [0.500, 0.500, 0.500], [0.000, 0.000, 0.500], [0.500, 0.500, 0.000], [0.000, 0.500, 0.217], [0.000, 0.500, 0.783], [0.500, 0.000, 0.283], [0.500, 0.000, 0.717]], "sg": "Immm, No. 71", "e_form_mev_per_atom": 159, "m_tot_mub_per_atom": 0.000}

=====

{"formula": "ZnNi2Ru", "functional": "PBE", "state": "optimized geometry", "lattice": [[8.504, 0.000, 0.000], [0.000, 2.584, 0.000], [-0.700, 0.000, 4.532]], "species": ["Zn", "Zn", "Ni", "Ni", "Ni", "Ni", "Ru", "Ru"], "fractional_positions": [[0.000, 0.000, 0.000], [0.500, 0.500, 0.000], [0.248, 0.000, 0.744], [0.252, 0.500, 0.256], [0.748, 0.500, 0.744], [0.752, 0.000, 0.256], [0.000, 0.500, 0.500], [0.500, 0.000, 0.500]], "sg": "C2/m, No. 12", "e_form_mev_per_atom": 44, "m_tot_mub_per_atom": 0.001}

=====

{"formula": "ZnNi2Ru", "functional": "PBE", "state": "optimized geometry", "lattice": [[2.599, 0.000, 0.000], [0.000, 3.672, 0.000], [0.000, 0.000, 5.189]], "species": ["Zn", "Ni", "Ni", "Ru"], "fractional_positions": [[0.000, 0.000, 0.000], [0.500, 0.500, 0.257], [0.500, 0.500, 0.743], [0.000, 0.000, 0.500]], "sg": "Pmmm, No. 47", "e_form_mev_per_atom": -11, "m_tot_mub_per_atom": 0.000}

=====

{"formula": "ZnNi2Ru", "functional": "PBE", "state": "optimized geometry", "lattice": [[3.695, 0.000, 0.000], [0.000, 3.695, 0.000], [0.000, 0.000, 7.283]], "species": ["Zn", "Zn", "Ni", "Ni", "Ni", "Ni", "Ru", "Ru"], "fractional_positions": [[0.000, 0.000, 0.000], [0.500, 0.500, 0.500], [0.000, 0.500, 0.250], [0.000, 0.500, 0.750], [0.500, 0.000, 0.250], [0.500, 0.000, 0.750], [0.000, 0.000, 0.500], [0.500, 0.500, 0.000]], "sg": "I4/mmm, No. 139", "e_form_mev_per_atom": 34, "m_tot_mub_per_atom": 0.410}

=====

{"formula": "ZnNiRu3", "functional": "PBE", "state": "optimized geometry", "lattice": [[4.467, 0.000, 0.000], [0.000, 4.467, 0.000], [0.000, 0.000, 4.467]], "species": ["Zn", "Ni", "Ru", "Ru", "Ru"], "fractional_positions": [[0.000, 0.000, 0.000], [0.500, 0.500, 0.500], [0.000, 0.500, 0.500], [0.500, 0.000, 0.500], [0.500, 0.500, 0.000]], "polymorph_energy_ev_per_fu": 0.00, "sg": "Pm-3m, No. 221", "e_form_mev_per_atom": 1416, "m_tot_mub_per_atom": 1.162}

=====

{"formula": "ZnNi6Ru", "functional": "PBE", "state": "optimized geometry", "lattice": [[3.592, -5.087, 0.000], [3.592, 5.087, 0.000], [0.000, 0.000, 10.183]], "species": ["Zn", "Zn", "Zn", "Zn", "Ni", "Ni", "Ni", "Ni", "Ni", "Ni", "Ni", "Ni", "Ni", "Ni", "Ni", "Ni", "Ni", "Ni", "Ni", "Ni", "Ni", "Ni", "Ni", "Ni", "Ni", "Ni", "Ni", "Ni", "Ru", "Ru", "Ru", "Ru"], "fractional_positions": [[0.000, 0.000, 0.248], [0.000, 0.000, 0.752], [0.250, 0.750, 0.000], [0.750, 0.250, 0.000], [0.000, 0.000, 0.000], [0.000, 0.000, 0.500], [0.125, 0.375, 0.375], [0.125, 0.375, 0.625], [0.126, 0.375, 0.125], [0.126, 0.375, 0.875], [0.251, 0.749, 0.250], [0.251, 0.749, 0.750], [0.375, 0.125, 0.375], [0.375, 0.125, 0.625], [0.375, 0.126, 0.125], [0.375, 0.126, 0.875], [0.500, 0.500, 0.000], [0.500, 0.500, 0.500], [0.625, 0.874, 0.125], [0.625, 0.874, 0.875], [0.625, 0.875, 0.375], [0.625, 0.875, 0.625], [0.749, 0.251, 0.250], [0.749, 0.251, 0.750], [0.874, 0.625, 0.125], [0.874, 0.625, 0.875], [0.875, 0.625, 0.375], [0.875, 0.625, 0.625], [0.251, 0.749, 0.500], [0.500, 0.500, 0.246], [0.500, 0.500, 0.754], [0.749, 0.251, 0.500]], "sg": "Cmmm, No. 65", "e_form_mev_per_atom": -14, "m_tot_mub_per_atom": 0.497}

=====

{"formula": "ZnNi2Ru", "functional": "PBE", "state": "optimized geometry", "lattice": [[8.579, 0.000, 0.000], [0.000, 2.581, 0.000], [-0.774, 0.000, 4.465]], "species": ["Zn", "Zn", "Ni", "Ni", "Ni", "Ni", "Ru", "Ru"], "fractional_positions": [[0.000, 0.000, 0.000], [0.500, 0.500, 0.000], [0.004, 0.500, 0.510], [0.250, 0.000, 0.778], [0.504, 0.000, 0.510], [0.750, 0.500, 0.778], [0.257, 0.500, 0.296], [0.757, 0.000, 0.296]], "sg": "Cm, No. 8", "e_form_mev_per_atom": -11, "m_tot_mub_per_atom": 0.000}

=====

{"formula": "ZnNi2Ru2", "functional": "PBE", "state": "optimized geometry", "lattice": [[7.113, 0.000, 0.000], [0.000, 7.113, 0.000], [0.000, 0.000, 2.664]], "species": ["Zn", "Zn", "Ni", "Ni", "Ni", "Ni", "Ru", "Ru", "Ru", "Ru"], "fractional_positions": [[0.000, 0.000, 0.000], [0.500, 0.500, 0.000], [0.118, 0.382, 0.000], [0.382, 0.882, 0.000], [0.618, 0.118, 0.000], [0.882, 0.618, 0.000], [0.178, 0.678, 0.500], [0.322, 0.178, 0.500], [0.678, 0.822, 0.500], [0.822, 0.322, 0.500]], "polymorph_energy_ev_per_fu": 0.00, "sg": "P4/mbm, No. 127", "e_form_mev_per_atom": 293, "m_tot_mub_per_atom": 0.454}

=====

{"formula": "ZnNiRu3", "functional": "PBE", "state": "optimized geometry", "lattice": [[4.475, 0.000, 0.000], [0.000, 4.475, 0.000], [0.000, 0.000, 4.475]], "species": ["Zn", "Ni", "Ru", "Ru", "Ru"], "fractional_positions": [[0.000, 0.000, 0.000], [0.500, 0.500, 0.500], [0.000, 0.000, 0.500], [0.000, 0.500, 0.000], [0.500, 0.000, 0.000]], "polymorph_energy_ev_per_fu": 2.08, "sg": "Pm-3m, No. 221", "e_form_mev_per_atom": 1832, "m_tot_mub_per_atom": 0.864}